Entry 1:
The following is a DFT calculation (PBE-GGA) of an optimized crystal structure of RbTh6Se12.

Computed properties:
Total energy   -6.142 eV/atom
Magnetization   0.00 μB/f.u.
ρ   6.87 g/cm3
Formation energy from raw total energies   -1.5473 eV per atom

abc: 13.9661 13.9661 10.4043
angles: 90.00 90.00 120.00
Space group R-3m (No. 166, hexagonal axes)
One atom of each set of equivalent atoms:
Rb 0.0000 0.0000 0.0000 [3 per cell]
Th 0.0626 0.5313 0.2782 [18 per cell]
Se 0.0000 0.3722 0.5000 [18 per cell]
Se 0.0885 0.1770 0.3523 [18 per cell]

=====

Entry 2:
The following is a DFT calculation (PBE-GGA) of an optimized crystal structure of Rb2ThSe3.

Computed properties:
Total energy   -4.880 eV/atom
Magnetization   0.00 μB/f.u.
ρ   4.95 g/cm3
Formation energy from raw total energies   -1.5785 eV per atom

abc: 7.870 13.619 8.449
angles: 90.00 108.49 90.00
Space group C2/m (No. 12)
One atom of each set of equivalent atoms:
Rb 0.000 0.000 0.000 [2 per cell]
Rb 0.000 0.155 0.500 [4 per cell]
Rb 0.000 0.500 0.500 [2 per cell]
Th 0.000 0.332 0.000 [4 per cell]
Se 0.191 0.500 0.202 [4 per cell]
Se 0.240 0.310 0.795 [8 per cell]